No. 1
# Na3AgI4 PBE optimized geometry
data_Na3AgI4
_space_group_name_H-M_alt 'P 1'
_space_group_IT_number 1
_space_group_name_Hall 'P 1'
_cell_length_a 7.0144
_cell_length_b 7.0144
_cell_length_c 7.0144
_cell_angle_alpha 90.00
_cell_angle_beta 90.00
_cell_angle_gamma 90.00
loop_
_atom_site_label
_atom_site_type_symbol
_atom_site_fract_x
_atom_site_fract_y
_atom_site_fract_z
Na1 Na 0.0000 0.0000 0.5000
Na2 Na 0.0000 0.5000 0.0000
Na3 Na 0.5000 0.0000 0.0000
Ag1 Ag 0.5000 0.5000 0.5000
I1 I 0.2620 0.2620 0.7380
I2 I 0.2620 0.7380 0.2620
I3 I 0.7380 0.2620 0.2620
I4 I 0.7380 0.7380 0.7380
# **DFT total energy**: -2.593 eV per atom

***

No. 2
# InTe2RhN PBE optimized geometry
data_InTe2RhN
_space_group_name_H-M_alt 'P 1'
_space_group_IT_number 1
_space_group_name_Hall 'P 1'
_cell_length_a 5.7090
_cell_length_b 5.7090
_cell_length_c 3.9253
_cell_angle_alpha 90.00
_cell_angle_beta 90.00
_cell_angle_gamma 90.00
loop_
_atom_site_label
_atom_site_type_symbol
_atom_site_fract_x
_atom_site_fract_y
_atom_site_fract_z
In1 In 0.0000 0.0000 0.0000
Te1 Te 0.0000 0.5000 0.0000
Te2 Te 0.5000 0.0000 0.0000
Rh1 Rh 0.5000 0.5000 0.5000
N1 N 0.0000 0.0000 0.5000
# **Offset from the most stable computed form**: 1.041 eV/atom

***

No. 3
# Ta2Pd3Au3 PBE optimized geometry
data_Ta2Pd3Au3
_space_group_name_H-M_alt 'P 1'
_space_group_IT_number 1
_space_group_name_Hall 'P 1'
_cell_length_a 5.1406
_cell_length_b 5.1406
_cell_length_c 5.1406
_cell_angle_alpha 90.43
_cell_angle_beta 90.43
_cell_angle_gamma 90.43
loop_
_atom_site_label
_atom_site_type_symbol
_atom_site_fract_x
_atom_site_fract_y
_atom_site_fract_z
Ta1 Ta 0.2464 0.2464 0.2464
Ta2 Ta 0.7536 0.7536 0.7536
Pd1 Pd 0.0000 0.2499 0.7501
Pd2 Pd 0.2499 0.7501 0.0000
Pd3 Pd 0.7501 0.0000 0.2499
Au1 Au 0.2470 0.7530 0.5000
Au2 Au 0.5000 0.2470 0.7530
Au3 Au 0.7530 0.5000 0.2470
# **Energy of formation from the pure elements**: -0.153 eV per atom

***

No. 4
# AlPdPt2 PBE optimized geometry
data_AlPdPt2
_space_group_name_H-M_alt 'P 1'
_space_group_IT_number 1
_space_group_name_Hall 'P 1'
_cell_length_a 4.4382
_cell_length_b 4.4382
_cell_length_c 4.4382
_cell_angle_alpha 59.63
_cell_angle_beta 59.63
_cell_angle_gamma 59.63
loop_
_atom_site_label
_atom_site_type_symbol
_atom_site_fract_x
_atom_site_fract_y
_atom_site_fract_z
Al1 Al 0.0000 0.0000 0.0000
Pd1 Pd 0.7480 0.7480 0.7480
Pt1 Pt 0.2520 0.2520 0.2520
Pt2 Pt 0.4999 0.4999 0.4999
# **Energy of formation from the pure elements**: -0.531 eV per atom